Compound: BiTeC
Source: Alexandria
Functional: GGA-PBE
Structure: relaxed

* electronic total energy: -4.78 eV/atom
* symmetry: Cm (8)
* uncorrected formation energy: 0.636 eV/atom

```
data_BiTeC
_cell_length_a 10.092
_cell_length_b 10.092
_cell_length_c 4.007
_cell_angle_alpha 93.05
_cell_angle_beta 93.05
_cell_angle_gamma 23.77
_space_group_name_H-M_alt 'P 1'
_space_group_IT_number 1
loop_
_space_group_symop_operation_xyz
'x,y,z'
loop_
_atom_site_label
_atom_site_type_symbol
_atom_site_fract_x
_atom_site_fract_y
_atom_site_fract_z
Bi1 Bi 0.000 0.000 0.000
Bi2 Bi 0.206 0.206 0.030
Te1 Te 0.378 0.378 0.263
Te2 Te 0.573 0.573 0.437
C1 C 0.638 0.956 0.119
C2 C 0.956 0.638 0.119
```

---

Compound: Ac2Pr8Ho
Source: Alexandria
Functional: GGA-PBE
Structure: relaxed

* electronic total energy: -4.49 eV/atom
* formation energy from the elements: 0.152 eV/atom
* symmetry: C2/m (12)

```
data_Ac2Pr8Ho
_cell_length_a 7.725
_cell_length_b 7.725
_cell_length_c 8.769
_cell_angle_alpha 101.77
_cell_angle_beta 101.77
_cell_angle_gamma 54.66
_space_group_name_H-M_alt 'P 1'
_space_group_IT_number 1
loop_
_space_group_symop_operation_xyz
'x,y,z'
loop_
_atom_site_label
_atom_site_type_symbol
_atom_site_fract_x
_atom_site_fract_y
_atom_site_fract_z
Ac1 Ac 0.170 0.170 0.210
Ac2 Ac 0.830 0.830 0.790
Pr1 Pr 0.208 0.668 0.159
Pr2 Pr 0.270 0.270 0.818
Pr3 Pr 0.332 0.792 0.841
Pr4 Pr 0.380 0.380 0.515
Pr5 Pr 0.620 0.620 0.485
Pr6 Pr 0.668 0.208 0.159
Pr7 Pr 0.730 0.730 0.182
Pr8 Pr 0.792 0.332 0.841
Ho1 Ho 0.000 0.000 0.500
```

---

Compound: KNaCdAu
Source: Alexandria
Functional: GGA-PBE
Structure: relaxed

* electronic total energy: -1.87 eV/atom
* formation energy from the elements: -0.214 eV/atom
* symmetry: R3m (160)

```
data_KNaCdAu
_cell_length_a 6.571
_cell_length_b 6.571
_cell_length_c 6.571
_cell_angle_alpha 44.45
_cell_angle_beta 44.45
_cell_angle_gamma 44.45
_space_group_name_H-M_alt 'P 1'
_space_group_IT_number 1
loop_
_space_group_symop_operation_xyz
'x,y,z'
loop_
_atom_site_label
_atom_site_type_symbol
_atom_site_fract_x
_atom_site_fract_y
_atom_site_fract_z
K1 K 0.000 0.000 0.000
Na1 Na 0.200 0.200 0.200
Cd1 Cd 0.459 0.459 0.459
Au1 Au 0.798 0.798 0.798
```

---

Compound: TmTiAgSn
Source: Alexandria
Functional: GGA-PBE
Structure: relaxed

* electronic total energy: -5.06 eV/atom
* formation energy from the elements: -0.250 eV/atom
* symmetry: F-43m (216)

```
data_TmTiAgSn
_cell_length_a 4.957
_cell_length_b 4.957
_cell_length_c 4.957
_cell_angle_alpha 60.00
_cell_angle_beta 60.00
_cell_angle_gamma 60.00
_space_group_name_H-M_alt 'P 1'
_space_group_IT_number 1
loop_
_space_group_symop_operation_xyz
'x,y,z'
loop_
_atom_site_label
_atom_site_type_symbol
_atom_site_fract_x
_atom_site_fract_y
_atom_site_fract_z
Tm1 Tm 0.000 0.000 0.000
Ti1 Ti 0.500 0.500 0.500
Ag1 Ag 0.250 0.250 0.250
Sn1 Sn 0.750 0.750 0.750
```

---

Compound: K7Na4Hg
Source: Alexandria
Functional: GGA-PBE
Structure: relaxed

* electronic total energy: -1.10 eV/atom
* formation energy from the elements: 0.005 eV/atom
* symmetry: C2/m (12)

```
data_K7Na4Hg
_cell_length_a 10.455
_cell_length_b 10.455
_cell_length_c 10.455
_cell_angle_alpha 113.89
_cell_angle_beta 113.89
_cell_angle_gamma 39.66
_space_group_name_H-M_alt 'P 1'
_space_group_IT_number 1
loop_
_space_group_symop_operation_xyz
'x,y,z'
loop_
_atom_site_label
_atom_site_type_symbol
_atom_site_fract_x
_atom_site_fract_y
_atom_site_fract_z
K1 K 0.000 0.000 0.000
K2 K 0.202 0.202 0.859
K3 K 0.341 0.341 0.649
K4 K 0.430 0.430 0.272
K5 K 0.570 0.570 0.728
K6 K 0.659 0.659 0.351
K7 K 0.798 0.798 0.141
Na1 Na 0.074 0.074 0.436
Na2 Na 0.215 0.215 0.251
Na3 Na 0.785 0.785 0.749
Na4 Na 0.926 0.926 0.564
Hg1 Hg 0.500 0.500 0.000
```

---

Compound: NbTc2Sn
Source: Alexandria
Functional: GGA-PBE
Structure: relaxed

* electronic total energy: -7.96 eV/atom
* formation energy from the elements: 0.744 eV/atom
* symmetry: Immm (71)

```
data_NbTc2Sn
_cell_length_a 6.106
_cell_length_b 6.106
_cell_length_c 6.106
_cell_angle_alpha 153.44
_cell_angle_beta 132.76
_cell_angle_gamma 55.01
_space_group_name_H-M_alt 'P 1'
_space_group_IT_number 1
loop_
_space_group_symop_operation_xyz
'x,y,z'
loop_
_atom_site_label
_atom_site_type_symbol
_atom_site_fract_x
_atom_site_fract_y
_atom_site_fract_z
Nb1 Nb 0.000 0.000 0.000
Tc1 Tc 0.236 0.236 0.000
Tc2 Tc 0.764 0.764 0.000
Sn1 Sn 0.500 0.500 0.000
```

---

Compound: NiBMo
Source: Alexandria
Functional: GGA-PBE
Structure: relaxed

* electronic total energy: -8.11 eV/atom
* formation energy from the elements: -0.348 eV/atom
* symmetry: Cmcm (63)

```
data_NiBMo
_cell_length_a 6.721
_cell_length_b 6.721
_cell_length_c 3.061
_cell_angle_alpha 90.00
_cell_angle_beta 90.00
_cell_angle_gamma 152.54
_space_group_name_H-M_alt 'P 1'
_space_group_IT_number 1
loop_
_space_group_symop_operation_xyz
'x,y,z'
loop_
_atom_site_label
_atom_site_type_symbol
_atom_site_fract_x
_atom_site_fract_y
_atom_site_fract_z
Ni1 Ni 0.205 0.795 0.750
Ni2 Ni 0.795 0.205 0.250
B1 B 0.036 0.964 0.750
B2 B 0.964 0.036 0.250
Mo1 Mo 0.407 0.593 0.750
Mo2 Mo 0.593 0.407 0.250
```

---

Compound: YZrAlRe2
Source: Alexandria
Functional: GGA-PBE
Structure: relaxed

* electronic total energy: -7.40 eV/atom
* formation energy from the elements: 1.334 eV/atom
* symmetry: P4/mmm (123)

```
data_YZrAlRe2
_cell_length_a 4.831
_cell_length_b 4.831
_cell_length_c 5.035
_cell_angle_alpha 90.00
_cell_angle_beta 90.00
_cell_angle_gamma 90.00
_space_group_name_H-M_alt 'P 1'
_space_group_IT_number 1
loop_
_space_group_symop_operation_xyz
'x,y,z'
loop_
_atom_site_label
_atom_site_type_symbol
_atom_site_fract_x
_atom_site_fract_y
_atom_site_fract_z
Y1 Y 0.000 0.000 0.000
Zr1 Zr 0.500 0.500 0.500
Al1 Al 0.500 0.500 0.000
Re1 Re 0.000 0.500 0.500
Re2 Re 0.500 0.000 0.500
```

---

Compound: TaOs2Pt
Source: Alexandria
Functional: GGA-PBE
Structure: relaxed

* electronic total energy: -9.69 eV/atom
* formation energy from the elements: 0.402 eV/atom
* symmetry: I-42d (122)

```
data_TaOs2Pt
_cell_length_a 9.609
_cell_length_b 9.609
_cell_length_c 9.609
_cell_angle_alpha 156.72
_cell_angle_beta 156.72
_cell_angle_gamma 33.16
_space_group_name_H-M_alt 'P 1'
_space_group_IT_number 1
loop_
_space_group_symop_operation_xyz
'x,y,z'
loop_
_atom_site_label
_atom_site_type_symbol
_atom_site_fract_x
_atom_site_fract_y
_atom_site_fract_z
Ta1 Ta 0.000 0.000 0.000
Ta2 Ta 0.750 0.250 0.500
Os1 Os 0.174 0.625 0.049
Os2 Os 0.375 0.424 0.549
Os3 Os 0.576 0.125 0.951
Os4 Os 0.875 0.826 0.451
Pt1 Pt 0.250 0.750 0.500
Pt2 Pt 0.500 0.500 0.000
```

---

Compound: Mn4Fe2Os
Source: Alexandria
Functional: GGA-PBE
Structure: relaxed

* electronic total energy: -9.01 eV/atom
* formation energy from the elements: 0.256 eV/atom
* symmetry: Fdd2 (43)

```
data_Mn4Fe2Os
_cell_length_a 6.882
_cell_length_b 5.416
_cell_length_c 7.266
_cell_angle_alpha 63.79
_cell_angle_beta 44.91
_cell_angle_gamma 71.30
_space_group_name_H-M_alt 'P 1'
_space_group_IT_number 1
loop_
_space_group_symop_operation_xyz
'x,y,z'
loop_
_atom_site_label
_atom_site_type_symbol
_atom_site_fract_x
_atom_site_fract_y
_atom_site_fract_z
Mn1 Mn 0.184 0.949 0.537
Mn2 Mn 0.275 0.725 0.279
Mn3 Mn 0.529 0.971 0.525
Mn4 Mn 0.713 0.919 0.066
Mn5 Mn 0.725 0.275 0.721
Mn6 Mn 0.919 0.713 0.301
Mn7 Mn 0.949 0.184 0.331
Mn8 Mn 0.971 0.529 0.975
Fe1 Fe 0.069 0.298 0.716
Fe2 Fe 0.298 0.069 0.917
Fe3 Fe 0.333 0.534 0.952
Fe4 Fe 0.534 0.333 0.181
Os1 Os 0.497 0.497 0.503
Os2 Os 0.747 0.747 0.753
```

---

Compound: ScPd2
Source: Alexandria
Functional: GGA-PBE
Structure: relaxed

* electronic total energy: -6.46 eV/atom
* formation energy from the elements: -0.891 eV/atom
* symmetry: Pnma (62)

```
data_ScPd2
_cell_length_a 5.621
_cell_length_b 4.157
_cell_length_c 8.606
_cell_angle_alpha 90.00
_cell_angle_beta 90.00
_cell_angle_gamma 90.00
_space_group_name_H-M_alt 'P 1'
_space_group_IT_number 1
loop_
_space_group_symop_operation_xyz
'x,y,z'
loop_
_atom_site_label
_atom_site_type_symbol
_atom_site_fract_x
_atom_site_fract_y
_atom_site_fract_z
Sc1 Sc 0.163 0.250 0.109
Sc2 Sc 0.337 0.750 0.609
Sc3 Sc 0.663 0.250 0.391
Sc4 Sc 0.837 0.750 0.891
Pd1 Pd 0.092 0.250 0.766
Pd2 Pd 0.151 0.250 0.430
Pd3 Pd 0.349 0.750 0.930
Pd4 Pd 0.408 0.750 0.266
Pd5 Pd 0.592 0.250 0.734
Pd6 Pd 0.651 0.250 0.070
Pd7 Pd 0.849 0.750 0.570
Pd8 Pd 0.908 0.750 0.234
```

---

Compound: LaYHo6
Source: Alexandria
Functional: GGA-PBE
Structure: relaxed

* electronic total energy: -4.73 eV/atom
* formation energy from the elements: 0.126 eV/atom
* symmetry: Cmmm (65)

```
data_LaYHo6
_cell_length_a 6.966
_cell_length_b 6.966
_cell_length_c 5.860
_cell_angle_alpha 90.00
_cell_angle_beta 90.00
_cell_angle_gamma 115.00
_space_group_name_H-M_alt 'P 1'
_space_group_IT_number 1
loop_
_space_group_symop_operation_xyz
'x,y,z'
loop_
_atom_site_label
_atom_site_type_symbol
_atom_site_fract_x
_atom_site_fract_y
_atom_site_fract_z
La1 La 0.000 0.000 0.000
Y1 Y 0.500 0.500 0.000
Ho1 Ho 0.000 0.500 0.000
Ho2 Ho 0.244 0.756 0.500
Ho3 Ho 0.263 0.263 0.500
Ho4 Ho 0.500 0.000 0.000
Ho5 Ho 0.737 0.737 0.500
Ho6 Ho 0.756 0.244 0.500
```